The following is a DFT calculation (PBE-GGA) of an optimized crystal structure of LaNd2Ho.

Output
Raw total energy in eV per atom: -4.7410
Spin magnetization in μB per cell: 0.0
Energy above the most stable polymorph in this dataset in meV per atom: 2.8

a b c (Å): 3.6591 3.6591 35.8479
angles (deg): 90.00 90.00 120.00
Space group R-3m (No. 166, hexagonal axes)
Inequivalent atoms, fractional coordinates:
La1 0.0000 0.0000 0.0000
Nd1 0.0000 0.0000 0.2477
Ho1 0.0000 0.0000 0.5000


The following is a DFT calculation (PBE-GGA) of an optimized crystal structure of La3Nd7Ho2.

Output
Raw total energy in eV per atom: -4.6938
Spin magnetization in μB per cell: 0.0
Energy above the most stable polymorph in this dataset in meV per atom: 0.0

a b c (Å): 6.004 3.655 19.419
angles (deg): 90.00 93.03 90.00
Space group P2/m (No. 10)
Inequivalent atoms, fractional coordinates:
La1 0.000 0.000 0.000
La2 0.277 0.500 0.634
Nd1 0.190 0.500 0.146
Nd2 0.244 0.000 0.464
Nd3 0.307 0.000 0.820
Nd4 0.500 0.500 0.000
Ho1 0.214 0.000 0.294


The following is a DFT calculation (PBE-GGA) of an optimized crystal structure of LaNd4Ho8.

Output
Raw total energy in eV per atom: -4.1432
Spin magnetization in μB per cell: 2.1

a b c (Å): 7.838 7.838 7.838
angles (deg): 90.00 90.00 90.00
Space group Pm-3m (No. 221)
Inequivalent atoms, fractional coordinates:
La1 0.000 0.000 0.000
Nd1 0.000 0.000 0.500
Nd2 0.500 0.500 0.500
Ho1 0.262 0.262 0.262


The following is a DFT calculation (PBE-GGA) of an optimized crystal structure of La4Nd4Ho3.

Output
Raw total energy in eV per atom: -4.7199
Spin magnetization in μB per cell: 0.0
Energy above the most stable polymorph in this dataset in meV per atom: 0.0

a b c (Å): 3.584 5.813 18.531
angles (deg): 80.98 84.46 90.00
Space group P-1 (No. 2)
Inequivalent atoms, fractional coordinates:
La1 0.093 0.092 0.315
La2 0.229 0.729 0.042
Nd1 0.045 0.543 0.411
Nd2 0.183 0.182 0.135
Ho1 0.364 0.365 0.772
Ho2 0.500 0.000 0.500


The following is a DFT calculation (PBE-GGA) of an optimized crystal structure of La2Nd3Ho8.

Output
Raw total energy in eV per atom: -4.5942
Spin magnetization in μB per cell: 0.0
Energy above the most stable polymorph in this dataset in meV per atom: 0.0

a b c (Å): 6.837 8.704 8.818
angles (deg): 115.44 101.84 103.23
Space group P-1 (No. 2)
Inequivalent atoms, fractional coordinates:
La1 0.185 0.344 0.203
Nd1 0.281 0.626 0.650
Nd2 0.500 0.500 0.000
Ho1 0.052 0.715 0.304
Ho2 0.128 0.004 0.772
Ho3 0.338 0.911 0.107
Ho4 0.386 0.184 0.547


The following is a DFT calculation (PBE-GGA) of an optimized crystal structure of La2Nd12Ho5.

Output
Raw total energy in eV per atom: -4.6084
Spin magnetization in μB per cell: 0.0
Energy above the most stable polymorph in this dataset in meV per atom: 0.0

a b c (Å): 22.367 7.200 8.800
angles (deg): 90.00 109.00 90.00
Space group C2/m (No. 12)
Inequivalent atoms, fractional coordinates:
La1 0.000 0.249 0.000
Nd1 0.048 0.000 0.691
Nd2 0.108 0.243 0.388
Nd3 0.149 0.500 0.076
Nd4 0.199 0.247 0.793
Ho1 0.000 0.500 0.500
Ho2 0.153 0.000 0.098
Ho3 0.249 0.500 0.494


The following is a DFT calculation (PBE-GGA) of an optimized crystal structure of LaNd2Ho.

Output
Raw total energy in eV per atom: -4.7398
Spin magnetization in μB per cell: 0.0
Energy above the most stable polymorph in this dataset in meV per atom: 4.0

a b c (Å): 6.340 3.657 12.149
angles (deg): 90.00 100.04 90.00
Space group Cm (No. 8)
Inequivalent atoms, fractional coordinates:
La1 0.000 0.000 0.000
Nd1 0.246 0.000 0.741
Nd2 0.418 0.000 0.258
Ho1 0.333 0.500 0.499


The following is a DFT calculation (PBE-GGA) of an optimized crystal structure of La2Nd5Ho3.

Output
Raw total energy in eV per atom: -4.4791
Spin magnetization in μB per cell: 0.0
Energy above the most stable polymorph in this dataset in meV per atom: 84.4

a b c (Å): 12.294 17.436 6.558
angles (deg): 90.00 90.00 90.00
Space group Ibam (No. 72)
Inequivalent atoms, fractional coordinates:
La1 0.083 0.169 0.000
Nd1 0.000 0.500 0.250
Nd2 0.234 0.332 0.000
Nd3 0.247 0.000 0.250
Ho1 0.000 0.000 0.250
Ho2 0.095 0.333 0.500


| no. | energy of formation (eV/f.u.) |
| --- | --- |
| 1 | 0.1 |
| 2 | 1.0 |
| 3 | 6.8 |
| 4 | 0.6 |
| 5 | 1.1 |
| 6 | 2.4 |
| 7 | 0.1 |
| 8 | 2.6 |